DFT (GGA+U) results for CaPaFeO5 after structural relaxation.

Output
- calculated total energy (eV per atom) = -8.0413
- total moment (μB per cell) = 20.00
- calculated volume (Å³/f.u.) = 123
- ρ (kg/m3) = 5474
- density of states at the Fermi level (states/eV/atom) = 0.0000

Cell and atoms, written as CIF:
```
data_CaPaFeO5
_chemical_formula_sum 'Ca4 Pa4 Fe4 O20'
_symmetry_space_group_name_H-M 'C 1 2/c 1'
_symmetry_Int_Tables_number 15
_cell_length_a 7.035
_cell_length_b 9.599
_cell_length_c 7.950
_cell_angle_alpha 90.00
_cell_angle_beta 113.11
_cell_angle_gamma 90.00
loop_
_symmetry_equiv_pos_as_xyz
'x,y,z'
'-x,-y,-z'
'-x,y,-z+1/2'
'x,-y,z+1/2'
'x+1/2,y+1/2,z'
'-x+1/2,-y+1/2,-z'
'-x+1/2,y+1/2,-z+1/2'
'x+1/2,-y+1/2,z+1/2'
loop_
_atom_site_label
_atom_site_type_symbol
_atom_site_fract_x
_atom_site_fract_y
_atom_site_fract_z
_atom_site_occupancy
Ca1 Ca 0.000 0.159 0.250 1
Pa1 Pa 0.000 0.500 0.000 1
Fe1 Fe 0.000 0.182 0.750 1
O1 O 0.000 0.404 0.250 1
O2 O 0.127 0.301 0.634 1
O3 O 0.176 0.052 0.918 1
```